Record 1
A relaxed ErTm3Hg2 crystal, computed with PBE.

Results
The value obtained for the formation energy is -0.366 eV per atom. The energy above the most stable polymorph in this dataset is 0 kJ/mol of formula units.

Lattice parameters (Å, degrees): 5.048 9.108 6.959 90.00 90.00 90.00
Atoms (fractional coordinates):
Er1 0.000 0.054 0.000
Er2 0.000 0.946 0.500
Tm1 0.000 0.325 0.655
Tm2 0.000 0.675 0.155
Tm3 0.500 0.176 0.314
Tm4 0.500 0.446 0.968
Tm5 0.500 0.554 0.468
Tm6 0.500 0.824 0.814
Hg1 0.000 0.351 0.221
Hg2 0.000 0.649 0.721
Hg3 0.500 0.150 0.747
Hg4 0.500 0.850 0.247

***

Record 2
A relaxed ErTm2Hg3 crystal, computed with PBE.

Results
The value obtained for the formation energy is -0.479 eV per atom.

Lattice parameters (Å, degrees): 3.688 3.688 10.994 90.00 90.00 90.00
Atoms (fractional coordinates):
Er1 0.000 0.000 0.000
Tm1 0.000 0.000 0.334
Tm2 0.000 0.000 0.666
Hg1 0.500 0.500 0.168
Hg2 0.500 0.500 0.500
Hg3 0.500 0.500 0.832

***

Record 3
A relaxed ErUHg crystal, computed with PBE.

Results
The value obtained for the formation energy is 0.004 eV per atom.

Lattice parameters (Å, degrees): 9.629 9.629 4.754 90.00 90.00 160.90
Atoms (fractional coordinates):
Er1 0.129 0.871 0.750
Er2 0.871 0.129 0.250
U1 0.473 0.527 0.750
U2 0.527 0.473 0.250
Hg1 0.297 0.703 0.750
Hg2 0.703 0.297 0.250

***

Record 4
A relaxed Er2VHg crystal, computed with PBE.

Results
The value obtained for the formation energy is -0.076 eV per atom. The energy above the most stable polymorph in this dataset is 0 kJ/mol of formula units.

Lattice parameters (Å, degrees): 3.601 3.601 7.341 90.00 90.00 90.00
Atoms (fractional coordinates):
Er1 0.000 0.000 0.233
Er2 0.000 0.000 0.767
V1 0.500 0.500 0.000
Hg1 0.500 0.500 0.500

***

Record 5
A relaxed YEr3Hg2 crystal, computed with PBE.

Results
The value obtained for the formation energy is -0.375 eV per atom. The energy above the most stable polymorph in this dataset is 0 kJ/mol of formula units.

Lattice parameters (Å, degrees): 5.068 9.157 7.046 90.00 90.00 90.00
Atoms (fractional coordinates):
Y1 0.000 0.055 0.000
Y2 0.000 0.945 0.500
Er1 0.000 0.327 0.653
Er2 0.000 0.673 0.153
Er3 0.500 0.177 0.316
Er4 0.500 0.444 0.968
Er5 0.500 0.556 0.468
Er6 0.500 0.823 0.816
Hg1 0.000 0.351 0.223
Hg2 0.000 0.649 0.723
Hg3 0.500 0.149 0.745
Hg4 0.500 0.851 0.245

***

Record 6
A relaxed YEr2Hg crystal, computed with PBE.

Results
The value obtained for the formation energy is -0.249 eV per atom. The energy above the most stable polymorph in this dataset is 0 kJ/mol of formula units.

Lattice parameters (Å, degrees): 6.544 6.544 6.544 146.61 132.08 59.67
Atoms (fractional coordinates):
Y1 0.000 0.000 0.000
Er1 0.280 0.780 0.500
Er2 0.720 0.220 0.500
Hg1 0.500 0.500 0.000

***

Record 7
A relaxed YEr2Hg crystal, computed with PBE.

Results
The value obtained for the formation energy is -0.161 eV per atom. The energy above the most stable polymorph in this dataset is 34 kJ/mol of formula units.

Lattice parameters (Å, degrees): 10.703 10.703 10.703 19.32 19.32 19.32
Atoms (fractional coordinates):
Y1 0.000 0.000 0.000
Er1 0.242 0.242 0.242
Er2 0.758 0.758 0.758
Hg1 0.500 0.500 0.500

***

Record 8
A relaxed Y2Er2Hg crystal, computed with PBE.

Results
The value obtained for the formation energy is -0.046 eV per atom.

Lattice parameters (Å, degrees): 12.962 12.962 12.962 157.62 157.62 31.86
Atoms (fractional coordinates):
Y1 0.053 0.303 0.750
Y2 0.303 0.053 0.250
Y3 0.697 0.947 0.750
Y4 0.947 0.697 0.250
Er1 0.201 0.451 0.750
Er2 0.451 0.201 0.250
Er3 0.549 0.799 0.750
Er4 0.799 0.549 0.250
Hg1 0.375 0.625 0.750
Hg2 0.625 0.375 0.250

***

Record 9
A relaxed YEr7Hg4 crystal, computed with PBE.

Results
The value obtained for the formation energy is -0.088 eV per atom.

Lattice parameters (Å, degrees): 7.774 7.774 9.705 119.88 119.88 42.49
Atoms (fractional coordinates):
Y1 0.000 0.000 0.000
Er1 0.067 0.067 0.407
Er2 0.209 0.209 0.884
Er3 0.268 0.268 0.316
Er4 0.500 0.500 0.000
Er5 0.732 0.732 0.684
Er6 0.791 0.791 0.116
Er7 0.933 0.933 0.593
Hg1 0.312 0.312 0.661
Hg2 0.452 0.452 0.272
Hg3 0.548 0.548 0.728
Hg4 0.688 0.688 0.339

***

Record 10
A relaxed Y6ErHg2 crystal, computed with PBE.

Results
The value obtained for the formation energy is -0.217 eV per atom.

Lattice parameters (Å, degrees): 6.595 6.595 11.898 107.89 107.89 32.67
Atoms (fractional coordinates):
Y1 0.019 0.019 0.337
Y2 0.312 0.312 0.413
Y3 0.313 0.313 0.123
Y4 0.687 0.687 0.877
Y5 0.688 0.688 0.587
Y6 0.981 0.981 0.663
Er1 0.000 0.000 0.000
Hg1 0.359 0.359 0.800
Hg2 0.641 0.641 0.200

***

Record 11
A relaxed Y3Er2Hg3 crystal, computed with PBE.

Results
The value obtained for the formation energy is -0.380 eV per atom.

Lattice parameters (Å, degrees): 11.478 11.478 11.478 161.34 153.33 32.75
Atoms (fractional coordinates):
Y1 0.000 0.000 0.000
Y2 0.378 0.878 0.500
Y3 0.622 0.122 0.500
Er1 0.232 0.232 0.000
Er2 0.768 0.768 0.000
Hg1 0.120 0.620 0.500
Hg2 0.500 0.500 0.000
Hg3 0.880 0.380 0.500

***

Record 12
A relaxed Y2Er2Hg3 crystal, computed with PBE.

Results
The value obtained for the formation energy is -0.331 eV per atom.

Lattice parameters (Å, degrees): 5.158 5.158 8.964 106.67 106.67 60.14
Atoms (fractional coordinates):
Y1 0.127 0.127 0.380
Y2 0.873 0.873 0.620
Er1 0.378 0.378 0.133
Er2 0.622 0.622 0.867
Hg1 0.000 0.000 0.000
Hg2 0.248 0.248 0.746
Hg3 0.752 0.752 0.254

***

Record 13
A relaxed Y2Er3Hg2 crystal, computed with PBE.

Results
The value obtained for the formation energy is -0.248 eV per atom.

Lattice parameters (Å, degrees): 5.321 5.321 8.479 108.32 108.32 60.04
Atoms (fractional coordinates):
Y1 0.076 0.076 0.227
Y2 0.924 0.924 0.773
Er1 0.343 0.343 0.028
Er2 0.500 0.500 0.500
Er3 0.657 0.657 0.972
Hg1 0.214 0.214 0.642
Hg2 0.786 0.786 0.358

***

Record 14
A relaxed Y5ErHg6 crystal, computed with PBE.

Results
The value obtained for the formation energy is -0.507 eV per atom.

Lattice parameters (Å, degrees): 5.249 7.458 8.317 90.00 108.09 90.00
Atoms (fractional coordinates):
Y1 0.000 0.000 0.000
Y2 0.333 0.000 0.666
Y3 0.334 0.500 0.667
Y4 0.666 0.500 0.333
Y5 0.667 0.000 0.334
Er1 0.000 0.500 0.000
Hg1 0.166 0.252 0.331
Hg2 0.166 0.748 0.331
Hg3 0.500 0.253 0.000
Hg4 0.500 0.747 0.000
Hg5 0.834 0.252 0.669
Hg6 0.834 0.748 0.669

***

Record 15
A relaxed Y4ErHg crystal, computed with PBE.

Results
The value obtained for the formation energy is -0.056 eV per atom.

Lattice parameters (Å, degrees): 8.242 8.242 6.356 100.05 100.05 115.77
Atoms (fractional coordinates):
Y1 0.089 0.712 0.953
Y2 0.172 0.396 0.630
Y3 0.288 0.911 0.547
Y4 0.396 0.172 0.130
Y5 0.604 0.828 0.870
Y6 0.712 0.089 0.453
Y7 0.828 0.604 0.370
Y8 0.911 0.288 0.047
Er1 0.402 0.598 0.250
Er2 0.598 0.402 0.750
Hg1 0.000 0.000 0.250
Hg2 0.000 0.000 0.750

***

Record 16
A relaxed YEr2Hg crystal, computed with PBE.

Results
The value obtained for the formation energy is -0.163 eV per atom. The energy above the most stable polymorph in this dataset is 33 kJ/mol of formula units.

Lattice parameters (Å, degrees): 10.605 10.605 10.605 19.71 19.71 19.71
Atoms (fractional coordinates):
Y1 0.000 0.000 0.000
Er1 0.576 0.576 0.576
Er2 0.758 0.758 0.758
Hg1 0.166 0.166 0.166

***

Record 17
A relaxed Y5ErHg4 crystal, computed with PBE.

Results
The value obtained for the formation energy is -0.392 eV per atom.

Lattice parameters (Å, degrees): 3.685 3.685 20.051 90.00 90.00 90.00
Atoms (fractional coordinates):
Y1 0.000 0.000 0.000
Y2 0.000 0.000 0.189
Y3 0.000 0.000 0.379
Y4 0.000 0.000 0.621
Y5 0.000 0.000 0.811
Er1 0.500 0.500 0.500
Hg1 0.500 0.500 0.095
Hg2 0.500 0.500 0.285
Hg3 0.500 0.500 0.715
Hg4 0.500 0.500 0.905

***

Record 18
A relaxed YErHg2 crystal, computed with PBE.

Results
The value obtained for the formation energy is -0.495 eV per atom. The energy above the most stable polymorph in this dataset is 0 kJ/mol of formula units.

Lattice parameters (Å, degrees): 3.707 3.707 7.436 90.00 90.00 90.00
Atoms (fractional coordinates):
Y1 0.000 0.000 0.000
Er1 0.000 0.000 0.500
Hg1 0.500 0.500 0.256
Hg2 0.500 0.500 0.744

***

Record 19
A relaxed Y3ErHg2 crystal, computed with PBE.

Results
The value obtained for the formation energy is -0.383 eV per atom.

Lattice parameters (Å, degrees): 5.138 9.256 7.027 90.00 90.00 90.00
Atoms (fractional coordinates):
Y1 0.000 0.054 0.000
Y2 0.000 0.328 0.343
Y3 0.000 0.672 0.843
Y4 0.000 0.946 0.500
Y5 0.500 0.176 0.686
Y6 0.500 0.824 0.186
Er1 0.500 0.445 0.031
Er2 0.500 0.555 0.531
Hg1 0.000 0.349 0.781
Hg2 0.000 0.651 0.281
Hg3 0.500 0.150 0.250
Hg4 0.500 0.850 0.750

***

Record 20
A relaxed YEr2Hg crystal, computed with PBE.

Results
The value obtained for the formation energy is -0.229 eV per atom. The energy above the most stable polymorph in this dataset is 8 kJ/mol of formula units.

Lattice parameters (Å, degrees): 3.581 3.581 8.895 90.00 90.00 90.00
Atoms (fractional coordinates):
Y1 0.000 0.000 0.000
Er1 0.500 0.500 0.279
Er2 0.500 0.500 0.721
Hg1 0.000 0.000 0.500